No. 1
This record from the Alexandria database describes a relaxed Hf2OsPd2 crystal. The functional is PBE.

size of the total moment: 0.000 μB per atom
V: 17.7 Å³/atom
E_form: -0.32 eV/atom
D(E_F): 8.336 states/eV per cell
E_tot: -8.6293 eV per atom

a = 7.2616 Å, b = 7.2616 Å, c = 3.3509 Å
α = 90.00°, β = 90.00°, γ = 90.00°
Last column: nearest neighbours and their distance in Å.
Atoms (fractional coordinates):
Hf1 0.1819 0.6819 0.5000  6 Pd 2.59-2.82
Hf2 0.6819 0.8181 0.5000  6 Pd 2.59-2.82
Hf3 0.8181 0.3181 0.5000  6 Pd 2.59-2.82
Hf4 0.3181 0.1819 0.5000  6 Pd 2.59-2.82
Os1 0.0000 0.0000 0.0000  4 Pd 2.87, 8 Hf 3.14
Os2 0.5000 0.5000 0.0000  4 Pd 2.87, 8 Hf 3.14
Pd1 0.3742 0.8742 0.0000  1 Pd 2.58, 6 Hf 2.59-2.82, 2 Os 2.87
Pd2 0.8742 0.6258 0.0000  1 Pd 2.58, 6 Hf 2.59-2.82, 2 Os 2.87
Pd3 0.6258 0.1258 0.0000  1 Pd 2.58, 6 Hf 2.59-2.82, 2 Os 2.87
Pd4 0.1258 0.3742 0.0000  1 Pd 2.58, 6 Hf 2.59-2.82, 2 Os 2.87


No. 2
This record from the Alexandria database describes a relaxed Hf5Os4Pd crystal. The functional is PBE.

size of the total moment: 0.000 μB per atom
V: 17.5 Å³/atom
E_form: -0.68 eV/atom
D(E_F): 4.224 states/eV per cell
E_tot: -10.6727 eV per atom

a = 3.2179 Å, b = 3.2179 Å, c = 16.9129 Å
α = 90.00°, β = 90.00°, γ = 90.00°
Last column: nearest neighbours and their distance in Å.
Atoms (fractional coordinates):
Hf1 0.5000 0.5000 0.1084  4 Os 2.81, 4 Pd 2.92
Hf2 0.5000 0.5000 0.3048  8 Os 2.81-2.83
Hf3 0.5000 0.5000 0.5000  8 Os 2.81
Hf4 0.5000 0.5000 0.6952  8 Os 2.81-2.83
Hf5 0.5000 0.5000 0.8916  4 Os 2.81, 4 Pd 2.92
Os1 0.0000 0.0000 0.2056  8 Hf 2.81-2.83
Os2 0.0000 0.0000 0.4023  8 Hf 2.81
Os3 0.0000 0.0000 0.5977  8 Hf 2.81
Os4 0.0000 0.0000 0.7944  8 Hf 2.81-2.83
Pd1 0.0000 0.0000 0.0000  8 Hf 2.92, 4 Pd 3.22


No. 3
This record from the Alexandria database describes a relaxed Hf4OsPd crystal. The functional is PBE.

size of the total moment: 0.000 μB per atom
V: 19.1 Å³/atom
E_form: -0.46 eV/atom
D(E_F): 4.688 states/eV per cell
E_tot: -9.8344 eV per atom

a = 3.2566 Å, b = 3.2566 Å, c = 10.8086 Å
α = 89.99°, β = 89.99°, γ = 90.00°
Last column: nearest neighbours and their distance in Å.
Atoms (fractional coordinates):
Hf1 0.4998 0.4998 0.8387  4 Pd 2.89, 4 Hf 3.07
Hf2 0.5002 0.5002 0.1613  4 Pd 2.89, 4 Hf 3.07
Hf3 0.9999 0.9999 0.6508  4 Os 2.82, 4 Hf 3.07
Hf4 0.0001 0.0001 0.3492  4 Os 2.82, 4 Hf 3.07
Os1 0.5000 0.5000 0.5000  8 Hf 2.82
Pd1 0.0000 0.0000 0.0000  8 Hf 2.89